The following is a PBE+U calculation of crystalline CeMnGeO6 at its relaxed geometry, from Alexandria.

```
18
Lattice="4.757 0.000 0.000 0.000 4.757 0.000 0.000 0.000 9.385" Properties=species:S:1:pos:R:3 pbc="T T T"
Ce 0.000 0.000 0.000
Ce 2.378 2.378 4.693
Mn 0.000 0.000 3.117
Mn 2.378 2.378 7.810
Ge 0.000 0.000 6.261
Ge 2.378 2.378 1.569
O 0.812 0.812 4.707
O 0.979 0.979 7.634
O 0.989 0.989 1.722
O 1.389 3.368 6.414
O 1.399 3.357 2.941
O 1.566 3.191 0.014
O 3.191 1.566 0.014
O 3.357 1.399 2.941
O 3.368 1.389 6.414
O 3.768 3.768 1.722
O 3.778 3.778 7.634
O 3.945 3.945 4.707
```

Results
The total energy is -7.26 eV per atom.